A plane-wave DFT calculation with GGA-PBE was carried out for a geometry-optimized Li4EuSc structure.

Geometry as POSCAR:
```
Li4EuSc
1.0
5.880 0.000 0.000
2.940 5.092 0.000
2.940 1.697 4.801
Eu Sc Li
1 1 4
direct
0.250 0.250 0.250 Eu
0.000 0.000 0.000 Sc
0.627 0.627 0.119 Li
0.627 0.119 0.627 Li
0.627 0.627 0.627 Li
0.119 0.627 0.627 Li
```

Values from the calculation:
ΔE_f = 0.14 eV/atom
total moment = 1.37 μB/atom
final energy = -3.906 eV/atom
DOS at the Fermi energy = 6.6 states/eV/cell